1.
Tc2SbC | PBE-GGA | optimized geometry

Properties
The value obtained for the density of states at the Fermi level is 1.071 states/eV per atom. For the uncorrected energy, the calculation gives -63.2 eV per cell. For the energy above the most stable polymorph in this dataset, the calculation gives 0.000 eV/atom. The space group is I-42d. The calculation puts the total magnetization at 0.00 μB per atom. The formation energy (no corrections) is 0.62 eV per atom. The crystal system is tetragonal.

Lattice parameters (Å, degrees): 5.8667 5.8667 5.8667 122.11 122.11 86.38
Closest atoms and distances in Å follow each position.
Atoms (fractional coordinates):
Tc 0.0194 0.6250 0.8944  2 C 1.96
Tc 0.3750 0.2694 0.3944  2 C 1.96
Tc 0.7306 0.1250 0.1056  2 C 1.96
Tc 0.8750 0.9806 0.6056  2 C 1.96
Sb 0.2500 0.7500 0.5000  4 Tc 2.69
Sb 0.5000 0.5000 0.0000  4 Tc 2.69
C 0.0000 0.0000 0.0000  4 Tc 1.96
C 0.7500 0.2500 0.5000  4 Tc 1.96

---

2.
Tc2SbC | PBE-GGA | optimized geometry

Properties
The value obtained for the density of states at the Fermi level is 0.910 states/eV per atom. For the uncorrected energy, the calculation gives -29.4 eV per cell. For the energy above the most stable polymorph in this dataset, the calculation gives 0.562 eV/atom. The space group is Fm-3m. The calculation puts the total magnetization at 0.00 μB per atom. The formation energy (no corrections) is 1.18 eV per atom. The crystal system is cubic.

Lattice parameters (Å, degrees): 4.3104 4.3104 4.3104 60.00 60.00 60.00
Closest atoms and distances in Å follow each position.
Atoms (fractional coordinates):
Tc 0.2500 0.2500 0.2500  4 C 2.64, 4 Sb 2.64
Tc 0.7500 0.7500 0.7500  4 C 2.64, 4 Sb 2.64
Sb 0.0000 0.0000 0.0000  8 Tc 2.64
C 0.5000 0.5000 0.5000  8 Tc 2.64

---

3.
TcSbC3 | PBE-GGA | optimized geometry

Properties
The value obtained for the density of states at the Fermi level is 2.315 states/eV per atom. For the uncorrected energy, the calculation gives -26.0 eV per cell. For the energy above the most stable polymorph in this dataset, the calculation gives 1.314 eV/atom. The space group is Pm-3m. The calculation puts the total magnetization at 0.00 μB per atom. The formation energy (no corrections) is 3.23 eV per atom. The crystal system is cubic.

Lattice parameters (Å, degrees): 4.1346 4.1346 4.1346 90.00 90.00 90.00
Closest atoms and distances in Å follow each position.
Atoms (fractional coordinates):
Tc 0.0000 0.0000 0.0000  12 C 2.92
Sb 0.5000 0.5000 0.5000  6 C 2.07
C 0.0000 0.5000 0.5000  2 Sb 2.07
C 0.5000 0.0000 0.5000  2 Sb 2.07
C 0.5000 0.5000 0.0000  2 Sb 2.07

---

4.
TcSbC3 | PBE-GGA | optimized geometry

Properties
The value obtained for the density of states at the Fermi level is 0.631 states/eV per atom. For the uncorrected energy, the calculation gives -32.6 eV per cell. For the energy above the most stable polymorph in this dataset, the calculation gives 0.000 eV/atom. The space group is Pm-3m. The calculation puts the total magnetization at 0.00 μB per atom. The formation energy (no corrections) is 1.91 eV per atom. The crystal system is cubic.

Lattice parameters (Å, degrees): 4.0702 4.0702 4.0702 90.00 90.00 90.00
Closest atoms and distances in Å follow each position.
Atoms (fractional coordinates):
Tc 0.0000 0.0000 0.0000  6 C 2.04
Sb 0.5000 0.5000 0.5000  12 C 2.88
C 0.0000 0.0000 0.5000  2 Tc 2.04
C 0.0000 0.5000 0.0000  2 Tc 2.04
C 0.5000 0.0000 0.0000  2 Tc 2.04

---

5.
Tl2TcSbC | PBE-GGA | optimized geometry

Properties
The value obtained for the density of states at the Fermi level is 0.591 states/eV per atom. For the uncorrected energy, the calculation gives -20.8 eV per cell. The space group is P4/mmm. The calculation puts the total magnetization at 0.54 μB per atom. The formation energy (no corrections) is 1.53 eV per atom. The crystal system is tetragonal.

Lattice parameters (Å, degrees): 5.3653 5.3653 5.0280 90.00 90.00 90.00
Closest atoms and distances in Å follow each position.
Atoms (fractional coordinates):
Tl 0.0000 0.5000 0.0000  2 Tc 2.68
Tl 0.5000 0.0000 0.0000  2 Tc 2.68
Tc 0.0000 0.0000 0.0000  2 Sb 2.51, 4 Tl 2.68
Sb 0.0000 0.0000 0.5000  2 Tc 2.51
C 0.5000 0.5000 0.5000  8 Tl 3.68, 4 Sb 3.79

---

6.
U2Tc4Sb2C | PBE-GGA | optimized geometry

Properties
The value obtained for the density of states at the Fermi level is 0.935 states/eV per atom. For the uncorrected energy, the calculation gives -81.3 eV per cell. The space group is I4/mmm. The calculation puts the total magnetization at 0.00 μB per atom. The formation energy (no corrections) is 0.03 eV per atom. The crystal system is tetragonal.

Lattice parameters (Å, degrees): 5.9429 5.9429 5.9429 117.41 117.41 94.56
Closest atoms and distances in Å follow each position.
Atoms (fractional coordinates):
U 0.2199 0.2199 0.0000  1 C 2.26
U 0.7801 0.7801 0.0000  1 C 2.26
Tc 0.2500 0.2500 0.4999  1 C 2.18
Tc 0.2500 0.7500 0.0000  1 C 2.18
Tc 0.7500 0.2500 0.0000  1 C 2.18
Tc 0.7500 0.7500 0.5001  1 C 2.18
Sb 0.2500 0.7500 0.5000  8 Tc 2.97, 4 U 3.10
Sb 0.7500 0.2500 0.5000  8 Tc 2.97, 4 U 3.10
C 0.5000 0.5000 0.0000  4 Tc 2.18, 2 U 2.26

---

7.
YTcSbC2 | PBE-GGA | optimized geometry

Properties
The value obtained for the density of states at the Fermi level is 1.321 states/eV per atom. For the uncorrected energy, the calculation gives -26.8 eV per cell. The space group is P4/mmm. The calculation puts the total magnetization at 0.02 μB per atom. The formation energy (no corrections) is 2.52 eV per atom. The crystal system is tetragonal.

Lattice parameters (Å, degrees): 4.2688 4.2688 5.8230 90.00 90.00 90.00
Closest atoms and distances in Å follow each position.
Atoms (fractional coordinates):
Y 0.0000 0.0000 0.0000  4 C 2.13
Tc 0.5000 0.5000 0.5000  4 Sb 3.02
Sb 0.0000 0.0000 0.5000  2 Y 2.91, 4 Tc 3.02
C 0.0000 0.5000 0.0000  2 Y 2.13
C 0.5000 0.0000 0.0000  2 Y 2.13

---

8.
Sb3TeC | PBE-GGA | optimized geometry

Properties
The value obtained for the density of states at the Fermi level is 0.492 states/eV per atom. For the uncorrected energy, the calculation gives -20.1 eV per cell. For the energy above the most stable polymorph in this dataset, the calculation gives 0.000 eV/atom. The space group is Pm-3m. The calculation puts the total magnetization at 0.00 μB per atom. The formation energy (no corrections) is 0.92 eV per atom. The crystal system is cubic.

Lattice parameters (Å, degrees): 4.8837 4.8837 4.8837 90.00 90.00 90.00
Closest atoms and distances in Å follow each position.
Atoms (fractional coordinates):
Sb 0.0000 0.0000 0.5000  2 C 2.44
Sb 0.0000 0.5000 0.0000  2 C 2.44
Sb 0.5000 0.0000 0.0000  2 C 2.44
Te 0.5000 0.5000 0.5000  12 Sb 3.45
C 0.0000 0.0000 0.0000  6 Sb 2.44